Compound: TiP2Se2
Source: Alexandria via LeMat-Bulk
Functional: PBE
Structure: optimized geometry

## Properties
Electronic total energy: -24.481 eV/cell
Formation energy (no corrections): 1.2 eV/f.u.

abc: 5.174 5.174 5.045
angles: 59.15 59.15 90.00
Element x y z (fractional)
Se 0.750 0.250 0.500
Se 0.250 0.750 0.500
P 0.647 0.647 0.705
P 0.353 0.353 0.295
Ti 0.000 0.000 0.000



Compound: Er3CdAg
Source: Alexandria via LeMat-Bulk
Functional: PBE
Structure: optimized geometry

## Properties
Electronic total energy: -37.149 eV/cell
E_form: -108 kJ/mol of formula units

abc: 5.139 5.138 10.153
angles: 90.00 75.34 90.00
Element x y z (fractional)
Ag 0.483 0.750 0.682
Ag 0.165 0.250 0.318
Er 0.261 0.750 0.126
Er 0.074 0.750 0.501
Er 0.885 0.750 0.879
Er 0.764 0.250 0.121
Er 0.575 0.250 0.499
Er 0.387 0.250 0.874
Cd 0.669 0.750 0.310
Cd 0.979 0.250 0.690



Compound: CaMg2Ag
Source: Alexandria via LeMat-Bulk
Functional: PBE
Structure: optimized geometry

## Properties
Electronic total energy: -7.895 eV/cell
E_form: 14 kJ/mol of formula units

abc: 5.799 5.799 3.292
angles: 90.00 90.00 114.68
Element x y z (fractional)
Ca 0.000 0.500 0.500
Mg 0.000 0.000 0.000
Mg 0.500 0.500 0.000
Ag 0.500 0.000 0.500



Compound: ThMg2Cu
Source: Alexandria via LeMat-Bulk
Functional: PBE
Structure: optimized geometry

## Properties
Electronic total energy: -14.188 eV/cell
E_form: 50 kJ/mol of formula units

abc: 3.344 3.344 9.733
angles: 80.11 80.11 60.00
Element x y z (fractional)
Mg 0.268 0.268 0.197
Mg 0.065 0.065 0.804
Cu 0.666 0.666 0.001
Th 0.501 0.501 0.498



Here are the calculated spin magnetization numbers, same order: 0.000 0.001 0.000 0.000 (μB/atom).